No. 1
VASP calculation (GGA-PBE) on TmLuAlRu after structural relaxation.

Properties
**Calculated total energy**: -0.2176 Ha/atom
**DOS(E_F)**: 3.1 states/eV per cell
**Spin magnetization**: 0.00 μB per cell
**Formation energy**: -0.419 eV per atom
**Space group**: F-43m (216)

a = 4.867 Å, b = 4.867 Å, c = 4.867 Å
α = 60.00°, β = 60.00°, γ = 60.00°
Element x y z (fractional)
Ru 0.000 0.000 0.000
Lu 0.250 0.250 0.250
Tm 0.750 0.750 0.750
Al 0.500 0.500 0.500

---

No. 2
VASP calculation (GGA-PBE) on YLuAlRu after structural relaxation.

Properties
**Calculated total energy**: -0.2348 Ha/atom
**DOS(E_F)**: 3.2 states/eV per cell
**Spin magnetization**: 0.00 μB per cell
**Formation energy**: -0.388 eV per atom
**Space group**: F-43m (216)

a = 4.908 Å, b = 4.908 Å, c = 4.908 Å
α = 60.00°, β = 60.00°, γ = 60.00°
Element x y z (fractional)
Y 0.500 0.500 0.500
Ru 0.750 0.750 0.750
Lu 0.000 0.000 0.000
Al 0.250 0.250 0.250

---

No. 3
VASP calculation (GGA-PBE) on LuZrAlRu after structural relaxation.

Properties
**Calculated total energy**: -0.2550 Ha/atom
**DOS(E_F)**: 1.4 states/eV per cell
**Spin magnetization**: 0.00 μB per cell
**Formation energy**: -0.417 eV per atom
**Space group**: F-43m (216)

a = 4.781 Å, b = 4.781 Å, c = 4.781 Å
α = 60.00°, β = 60.00°, γ = 60.00°
Element x y z (fractional)
Ru 0.750 0.750 0.750
Lu 0.000 0.000 0.000
Al 0.250 0.250 0.250
Zr 0.500 0.500 0.500

---

No. 4
VASP calculation (GGA-PBE) on LuAlS2 after structural relaxation.

Properties
**Calculated total energy**: -0.1867 Ha/atom
**DOS(E_F)**: 1.3 states/eV per cell
**Spin magnetization**: 0.00 μB per cell
**Space group**: R-3m (166)

a = 3.564 Å, b = 3.564 Å, c = 8.198 Å
α = 77.45°, β = 77.45°, γ = 60.00°
Element x y z (fractional)
S 0.112 0.112 0.665
S 0.888 0.888 0.335
Lu 0.000 0.000 0.000
Al 0.500 0.500 0.500

---

No. 5
VASP calculation (GGA-PBE) on Lu3Al5S12 after structural relaxation.

Properties
**Calculated total energy**: -0.2022 Ha/atom
**DOS(E_F)**: 0.0 states/eV per cell
**Spin magnetization**: 0.00 μB per cell
**Space group**: Ia-3d (230)

a = 12.821 Å, b = 12.821 Å, c = 12.821 Å
α = 109.47°, β = 109.47°, γ = 109.47°
Element x y z (fractional)
Lu 0.750 0.375 0.125
Lu 0.875 0.750 0.125
Lu 0.375 0.750 0.625
Lu 0.250 0.125 0.375
Lu 0.875 0.125 0.250
Lu 0.375 0.625 0.250
Lu 0.625 0.375 0.750
Lu 0.125 0.875 0.750
Lu 0.750 0.875 0.625
Lu 0.625 0.250 0.375
Lu 0.125 0.250 0.875
Lu 0.250 0.625 0.875
Al 0.125 0.375 0.250
Al 0.000 0.500 0.000
Al 0.000 0.000 0.000
Al 0.375 0.250 0.125
Al 0.500 0.000 0.500
Al 0.500 0.500 0.000
Al 0.125 0.750 0.375
Al 0.750 0.125 0.875
Al 0.750 0.625 0.375
Al 0.375 0.125 0.750
Al 0.625 0.875 0.250
Al 0.500 0.500 0.500
Al 0.500 0.000 0.000
Al 0.000 0.000 0.500
Al 0.250 0.375 0.625
Al 0.250 0.875 0.125
Al 0.000 0.500 0.500
Al 0.875 0.250 0.625
Al 0.625 0.750 0.875
Al 0.875 0.625 0.750
S 0.709 0.123 0.032
S 0.323 0.532 0.409
S 0.968 0.377 0.291
S 0.532 0.209 0.123
S 0.586 0.709 0.677
S 0.968 0.591 0.177
S 0.323 0.791 0.414
S 0.091 0.914 0.123
S 0.591 0.968 0.677
S 0.709 0.586 0.177
S 0.791 0.468 0.377
S 0.823 0.909 0.032
S 0.123 0.709 0.532
S 0.377 0.409 0.086
S 0.086 0.909 0.377
S 0.414 0.123 0.591
S 0.086 0.177 0.209
S 0.468 0.677 0.091
S 0.823 0.914 0.291
S 0.123 0.414 0.091
S 0.377 0.968 0.791
S 0.591 0.623 0.414
S 0.909 0.823 0.532
S 0.791 0.323 0.914
S 0.409 0.377 0.586
S 0.091 0.177 0.468
S 0.209 0.677 0.086
S 0.177 0.086 0.709
S 0.623 0.032 0.209
S 0.877 0.586 0.909
S 0.532 0.323 0.909
S 0.586 0.877 0.409
S 0.914 0.823 0.791
S 0.914 0.091 0.623
S 0.877 0.291 0.468
S 0.177 0.091 0.968
S 0.623 0.591 0.914
S 0.409 0.032 0.323
S 0.291 0.414 0.823
S 0.209 0.532 0.623
S 0.909 0.086 0.877
S 0.677 0.209 0.586
S 0.468 0.791 0.877
S 0.032 0.409 0.823
S 0.414 0.291 0.323
S 0.032 0.623 0.709
S 0.677 0.468 0.591
S 0.291 0.877 0.968

---

No. 6
VASP calculation (GGA-PBE) on LuAlSb2 after structural relaxation.

Properties
**Calculated total energy**: -0.1522 Ha/atom
**DOS(E_F)**: 0.5 states/eV per cell
**Spin magnetization**: 0.00 μB per cell
**Space group**: R-3m (166)

a = 4.738 Å, b = 4.738 Å, c = 8.370 Å
α = 73.56°, β = 73.56°, γ = 60.00°
Element x y z (fractional)
Sb 0.106 0.106 0.682
Sb 0.894 0.894 0.318
Lu 0.500 0.500 0.500
Al 0.000 0.000 0.000

---

No. 7
VASP calculation (GGA-PBE) on Lu2AlSb after structural relaxation.

Properties
**Calculated total energy**: -0.1712 Ha/atom
**DOS(E_F)**: 1.9 states/eV per cell
**Spin magnetization**: 0.00 μB per cell
**Space group**: R-3m (166)

a = 4.026 Å, b = 4.026 Å, c = 8.113 Å
α = 75.63°, β = 75.63°, γ = 60.00°
Element x y z (fractional)
Sb 0.500 0.500 0.500
Lu 0.246 0.246 0.261
Lu 0.754 0.754 0.739
Al 0.000 0.000 0.000

---

No. 8
VASP calculation (GGA-PBE) on LuSc2Al after structural relaxation.

Properties
**Calculated total energy**: -0.2004 Ha/atom
**DOS(E_F)**: 4.6 states/eV per cell
**Spin magnetization**: 0.00 μB per cell
**Formation energy**: -0.222 eV per atom
**Polymorph energy (0 for the lowest one)**: 0 meV/atom
**Space group**: P4/mmm (123)

a = 4.527 Å, b = 4.485 Å, c = 4.485 Å
α = 90.00°, β = 90.00°, γ = 90.00°
Element x y z (fractional)
Sc 0.000 0.000 0.500
Sc 0.000 0.500 0.000
Lu 0.500 0.500 0.500
Al 0.500 0.000 0.000

---

What did the fourth record say?
VASP calculation (GGA-PBE) on LuAlS2 after structural relaxation.

Properties
**Calculated total energy**: -0.1867 Ha/atom
**DOS(E_F)**: 1.3 states/eV per cell
**Spin magnetization**: 0.00 μB per cell
**Space group**: R-3m (166)

a = 3.564 Å, b = 3.564 Å, c = 8.198 Å
α = 77.45°, β = 77.45°, γ = 60.00°
Element x y z (fractional)
S 0.112 0.112 0.665
S 0.888 0.888 0.335
Lu 0.000 0.000 0.000
Al 0.500 0.500 0.500